No. 1
DFT (PBE) results for a relaxed LaPr2Mg3AgHg2 crystal.

The structure in POSCAR format:
```
LaPr2Mg3AgHg2
1.0
4.332 0.000 0.000
0.000 6.912 4.012
0.000 -6.912 4.012
La Pr Mg Ag Hg
1 2 3 1 2
direct
0.000 0.000 0.000
0.000 0.411 0.822
0.000 0.822 0.411
0.500 0.173 0.413
0.500 0.413 0.173
0.500 0.648 0.648
0.000 0.412 0.412
0.500 0.078 0.742
0.500 0.742 0.078
```

=====

No. 2
DFT (PBE) results for a relaxed La2Ir crystal.

The structure in POSCAR format:
```
La2Ir
1.0
0.000 6.166 6.166
6.166 0.000 6.166
6.166 6.166 0.000
La Ir
4 2
direct
0.000 0.000 0.000
0.000 0.000 0.500
0.000 0.500 0.000
0.500 0.000 0.000
0.125 0.125 0.125
0.875 0.875 0.875
```

Properties
For the formation enthalpy at 0 K, the calculation gives 376 meV per atom.

=====

No. 3
DFT (PBE) results for a relaxed Al2AgW crystal.

The structure in POSCAR format:
```
Al2AgW
1.0
0.000 3.182 3.182
3.182 0.000 3.182
3.182 3.182 0.000
Al Ag W
2 1 1
direct
0.000 0.000 0.000
0.250 0.250 0.250
0.750 0.750 0.750
0.500 0.500 0.500
```

=====

No. 4
DFT (PBE) results for a relaxed RbAg3OsS4 crystal.

The structure in POSCAR format:
```
RbAg3OsS4
1.0
6.341 0.000 0.000
0.000 6.341 0.000
0.000 0.000 6.341
Rb Ag Os S
1 3 1 4
direct
0.000 0.000 0.000
0.000 0.500 0.500
0.500 0.000 0.500
0.500 0.500 0.000
0.500 0.500 0.500
0.294 0.294 0.294
0.294 0.706 0.706
0.706 0.294 0.706
0.706 0.706 0.294
```

=====

Electronic total energy across the listed records, respectively: -0.10530, -0.21526, -0.19488, -0.15614 Ha/atom.